This record from the Open Quantum Materials Database describes crystalline CoReSn2 at its relaxed geometry. The functional is PBE.

extended XYZ file:
```
4
Lattice="0.000 3.280 3.280 3.280 0.000 3.280 3.280 3.280 0.000" Properties=species:S:1:pos:R:3 pbc="T T T"
Co 0.000 0.000 0.000
Re 4.921 4.921 4.921
Sn 1.640 1.640 1.640
Sn 3.280 3.280 3.280
```

SG: No. 216
Electronic total energy in eV/atom: -6.040

---

This record from the Open Quantum Materials Database describes crystalline TaCoReSn at its relaxed geometry. The functional is PBE.

extended XYZ file:
```
4
Lattice="0.000 3.175 3.175 3.175 0.000 3.175 3.175 3.175 0.000" Properties=species:S:1:pos:R:3 pbc="T T T"
Ta 0.000 0.000 0.000
Co 4.762 4.762 4.762
Re 1.587 1.587 1.587
Sn 3.175 3.175 3.175
```

SG: No. 216
Electronic total energy in eV/atom: -8.815
Excess energy over the best structure of this formula in the dataset in meV/atom: 0.0

---

This record from the Open Quantum Materials Database describes crystalline CoReTcSn at its relaxed geometry. The functional is PBE.

extended XYZ file:
```
4
Lattice="0.000 3.115 3.115 3.115 0.000 3.115 3.115 3.115 0.000" Properties=species:S:1:pos:R:3 pbc="T T T"
Co 0.000 0.000 0.000
Re 1.558 1.558 1.558
Tc 3.115 3.115 3.115
Sn 4.673 4.673 4.673
```

SG: No. 216
Electronic total energy in eV/atom: -8.182
Excess energy over the best structure of this formula in the dataset in meV/atom: 0.0

---

This record from the Open Quantum Materials Database describes crystalline CoReSnW at its relaxed geometry. The functional is PBE.

extended XYZ file:
```
4
Lattice="0.000 3.146 3.146 3.146 0.000 3.146 3.146 3.146 0.000" Properties=species:S:1:pos:R:3 pbc="T T T"
Co 0.000 0.000 0.000
Re 3.146 3.146 3.146
Sn 4.719 4.719 4.719
W 1.573 1.573 1.573
```

SG: No. 216
Electronic total energy in eV/atom: -8.811
Excess energy over the best structure of this formula in the dataset in meV/atom: 0.0

---

This record from the Open Quantum Materials Database describes crystalline ZnCoReSn at its relaxed geometry. The functional is PBE.

extended XYZ file:
```
4
Lattice="0.000 3.109 3.109 3.109 0.000 3.109 3.109 3.109 0.000" Properties=species:S:1:pos:R:3 pbc="T T T"
Zn 0.000 0.000 0.000
Co 4.663 4.663 4.663
Re 1.554 1.554 1.554
Sn 3.109 3.109 3.109
```

SG: No. 216
Electronic total energy in eV/atom: -5.793
Excess energy over the best structure of this formula in the dataset in meV/atom: 0.0

---

This record from the Open Quantum Materials Database describes crystalline SrCoRe at its relaxed geometry. The functional is PBE.

extended XYZ file:
```
3
Lattice="0.000 3.145 3.145 3.145 0.000 3.145 3.145 3.145 0.000" Properties=species:S:1:pos:R:3 pbc="T T T"
Sr 0.000 0.000 0.000
Co 4.718 4.718 4.718
Re 3.145 3.145 3.145
```

SG: No. 216
Electronic total energy in eV/atom: -5.672
Excess energy over the best structure of this formula in the dataset in meV/atom: 0.0